An optimized crystal structure of YPa3P4, computed with PBE.

a b c (Å): 3.976 6.882 6.882
angles (deg): 70.49 90.00 90.00
Positions (direct):
Y: 0.500 0.500 0.000
P: 0.000 0.752 0.748
P: 0.500 0.750 0.250
P: 0.000 0.249 0.252
P: 0.500 0.250 0.750
Pa: 0.500 0.000 0.500
Pa: 0.000 0.000 0.000
Pa: 0.000 0.500 0.500

Values from the calculation:
The energy relative to the elements is -1.39 eV per atom. As for the magnetic moment: 0.00 μB per formula unit.